Compound: V2AgAs
Source: Alexandria via LeMat-Bulk
Functional: PBE-GGA
Structure: optimized geometry

spin magnetization = 0.00 μB per cell
total energy = -97.58 eV/cell
density of states at the Fermi level = 0.72 states/eV per atom

Lattice parameters (Å, degrees): 6.9870 6.9870 5.3358 90.00 90.00 90.00
Closest atoms and distances in Å follow each position.
Space group I-42d (No. 122)
One atom of each set of equivalent atoms:
V 0.2234 0.2500 0.1250 [8 per cell]  2 As 2.44, 2 Ag 2.69, 2 V 2.69
Ag 0.0000 0.0000 0.5000 [4 per cell]  2 As 2.67, 4 V 2.69
As 0.0000 0.0000 0.0000 [4 per cell]  4 V 2.44, 2 Ag 2.67